Record 1
A geometry-optimized Pm3Er8Sc3 structure, computed with GGA-PBE.

Summary:
DFT formation energy = 0.12 eV per atom
spin magnetization = 0.0 μB per cell
calculated density = 7.418 g cm⁻³

Cell lengths 16.640, 5.452, 9.681 Å; angles 90.00, 103.42, 90.00 degrees
Space group C2/m (No. 12)
Unique sites:
1 Pm 0.000 0.000 0.000 x2
2 Pm 0.034 0.500 0.743 x4
3 Er 0.120 0.000 0.317 x4
4 Er 0.169 0.000 0.731 x4
5 Er 0.177 0.500 0.509 x4
6 Er 0.241 0.000 0.097 x4
7 Sc 0.000 0.000 0.500 x2
8 Sc 0.130 0.500 0.119 x4

***

Record 2
A geometry-optimized CaMgTlPt structure, computed with GGA-PBE.

Summary:
DFT formation energy = -0.46 eV per atom
spin magnetization = 0.0 μB per cell
calculated density = 8.764 g cm⁻³

Cell lengths 7.058, 7.058, 7.058 Å; angles 90.00, 90.00, 90.00 degrees
Space group F-43m (No. 216)
Unique sites:
1 Ca 0.000 0.000 0.000 x4
2 Mg 0.000 0.000 0.500 x4
3 Tl 0.250 0.250 0.750 x4
4 Pt 0.250 0.250 0.250 x4

***

Record 3
A geometry-optimized CuAg2SbSe structure, computed with GGA-PBE.

Summary:
spin magnetization = 0.0 μB per cell
E_form (uncorrected) = 60 kJ/mol of atoms
calculated density = 5.962 g cm⁻³

Cell lengths 5.280, 5.280, 4.795 Å; angles 90.00, 90.00, 90.00 degrees
Space group P4/mmm (No. 123)
Unique sites:
1 Cu 0.000 0.000 0.000 x1
2 Ag 0.000 0.500 0.500 x2
3 Sb 0.000 0.000 0.500 x1
4 Se 0.500 0.500 0.000 x1

***

Record 4
A geometry-optimized Sr2NpHgS5 structure, computed with GGA-PBE.

Summary:
spin magnetization = 12.0 μB per cell
E_form (uncorrected) = -134 kJ/mol of atoms
calculated density = 5.676 g cm⁻³

Cell lengths 4.086, 17.579, 12.596 Å; angles 90.00, 90.00, 90.00 degrees
Space group Cmc2_1 (No. 36)
Unique sites:
1 Sr 0.000 0.108 0.000 x4
2 Sr 0.000 0.127 0.630 x4
3 Np 0.000 0.210 0.334 x4
4 Hg 0.000 0.459 0.770 x4
5 S 0.000 0.060 0.387 x4
6 S 0.000 0.284 0.976 x4
7 S 0.000 0.300 0.692 x4
8 S 0.000 0.360 0.322 x4
9 S 0.000 0.496 0.086 x4

***

Record 5
A geometry-optimized SmThNiPt structure, computed with GGA-PBE.

Summary:
DFT formation energy = -0.81 eV per atom
spin magnetization = 0.0 μB per cell
calculated density = 11.540 g cm⁻³

Cell lengths 4.390, 3.804, 10.964 Å; angles 90.00, 90.00, 90.00 degrees
Space group Amm2 (No. 38)
Unique sites:
1 Sm 0.000 0.000 0.000 x2
2 Th 0.500 0.000 0.725 x2
3 Ni 0.000 0.000 0.266 x2
4 Pt 0.500 0.000 0.442 x2

***

Record 6
A geometry-optimized TcPPtS2 structure, computed with GGA-PBE.

Summary:
spin magnetization = 0.0 μB per cell
E above lowest polymorph = 0.0 meV per atom
E_form (uncorrected) = 74 kJ/mol of atoms
calculated density = 6.705 g cm⁻³

Cell lengths 4.453, 4.453, 4.849 Å; angles 90.00, 90.00, 90.00 degrees
Space group P4/mmm (No. 123)
Unique sites:
1 Tc 0.000 0.000 0.000 x1
2 P 0.000 0.000 0.500 x1
3 Pt 0.500 0.500 0.500 x1
4 S 0.000 0.500 0.000 x2

***

Record 7
A geometry-optimized AcPu3O8 structure, computed with GGA-PBE.

Summary:
spin magnetization = 33.0 μB per cell
E_form (uncorrected) = -278 kJ/mol of atoms
calculated density = 6.907 g cm⁻³

Cell lengths 6.9272, 6.9272, 18.8656 Å; angles 90.00, 90.00, 120.00 degrees
Space group R-3m (No. 166, hexagonal axes)
Unique sites:
1 Ac 0.0000 0.0000 0.0000 x3
2 Pu 0.0000 0.5000 0.5000 x9
3 O 0.0000 0.0000 0.2215 x6
4 O 0.0609 0.5305 0.7703 x18

***

Record 8
A geometry-optimized Pr6Dy2Tm3In structure, computed with GGA-PBE.

Summary:
DFT formation energy = -0.03 eV per atom
spin magnetization = 0.0 μB per cell
calculated density = 7.638 g cm⁻³

Cell lengths 6.209, 10.779, 11.828 Å; angles 90.00, 100.19, 90.00 degrees
Space group C2/m (No. 12)
Unique sites:
1 Pr 0.244 0.000 0.249 x4
2 Pr 0.247 0.164 0.750 x8
3 Dy 0.000 0.333 0.500 x4
4 Tm 0.000 0.168 0.000 x4
5 Tm 0.000 0.500 0.000 x2
6 In 0.000 0.000 0.500 x2